Entry 1:
Here is MnBePt at its PBEsol-relaxed geometry from Alexandria via LeMat-Bulk. Energies are from SCAN.

a b c (Å): 5.1117 5.1117 5.1117
angles (deg): 149.18 149.18 44.15
Fractional coordinates of all 3 atoms:
Mn  0.0000  0.0000  0.0000
Be  0.3442  0.3442  0.0000
Pt  0.6993  0.6993  0.0000

## Properties
Calculated density   12.30 g/cm3
Calculated formation energy   -609 meV/atom
Energy   -94.6 eV per cell
DOS(E_F)   1.14 states/eV/f.u.

---

Entry 2:
Here is MnBePt2 at its PBEsol-relaxed geometry from Alexandria via LeMat-Bulk. Energies are from SCAN.

a b c (Å): 4.3274 4.3274 4.3274
angles (deg): 125.58 125.58 80.58
Fractional coordinates of all 4 atoms:
Mn  0.0000  0.0000  0.0000
Be  0.5000  0.5000  0.0000
Pt  0.2500  0.7500  0.5000
Pt  0.7500  0.2500  0.5000

## Properties
Calculated density   14.59 g/cm3
Calculated formation energy   -771 meV/atom
Energy   -166.1 eV per cell
DOS(E_F)   1.11 states/eV/f.u.